This record from Alexandria via LeMat-Bulk describes a relaxed CsCF3 crystal. The functional is PBE.

As for the excess energy over the best structure of this formula in the dataset: 0 meV per atom. The total energy is -19.18 eV per cell. Its volume is 72.5 Å³ per cell. The value obtained for the formation energy (no corrections) is -0.697 eV/atom.

a = 4.170 Å, b = 4.170 Å, c = 4.170 Å
α = 90.00°, β = 90.00°, γ = 90.00°
Space group Pm-3m (No. 221)
One atom of each set of equivalent atoms:
Cs 0.000 0.000 0.000 x1
C 0.500 0.500 0.500 x1
F 0.000 0.500 0.500 x3



This record from Alexandria via LeMat-Bulk describes a relaxed CsC3F12 crystal. The functional is PBE.

The total energy is -156.06 eV per cell. Its volume is 710.5 Å³ per cell. The value obtained for the formation energy (no corrections) is -1.691 eV/atom.

a = 10.5815 Å, b = 10.5815 Å, c = 7.3268 Å
α = 90.00°, β = 90.00°, γ = 120.00°
Space group P6_3/m (No. 176)
One atom of each set of equivalent atoms:
Cs 0.3333 0.6667 0.2500 x2
C 0.1307 0.8124 0.7500 x6
F 0.0271 0.8502 0.7500 x6
F 0.0676 0.6655 0.7500 x6
F 0.1331 0.3478 0.5997 x12



This record from Alexandria via LeMat-Bulk describes a relaxed Cs2CF7 crystal. The functional is PBE.

The total energy is -80.06 eV per cell. Its volume is 356.4 Å³ per cell. The value obtained for the formation energy (no corrections) is -1.600 eV/atom.

a = 6.430 Å, b = 6.430 Å, c = 8.622 Å
α = 90.00°, β = 90.00°, γ = 90.00°
Space group I4/mmm (No. 139)
One atom of each set of equivalent atoms:
Cs 0.000 0.500 0.250 x4
C 0.000 0.000 0.000 x2
F 0.000 0.000 0.185 x4
F 0.000 0.000 0.500 x2
F 0.172 0.172 0.000 x8